# BeGaPS2, optimized geometry, DFT GGA-PBEsol
# **SG**: No. 123
# **Energy**: -17.11 eV for the cell shown
# **Raw formation energy**: 0.958 eV per atom
data_BeGaPS2
_chemical_formula_sum 'Be1 Ga1 P1 S2'
_symmetry_space_group_name_H-M 'P 1'
_symmetry_Int_Tables_number 1
_cell_length_a 4.604
_cell_length_b 4.604
_cell_length_c 4.596
_cell_angle_alpha 90.00
_cell_angle_beta 90.00
_cell_angle_gamma 90.00
loop_
_symmetry_equiv_pos_as_xyz
'x,y,z'
loop_
_atom_site_label
_atom_site_fract_x
_atom_site_fract_y
_atom_site_fract_z
P1 0.000 0.000 0.500
S1 0.000 0.500 0.000
S2 0.500 0.000 0.000
Ga1 0.000 0.000 0.000
Be1 0.500 0.500 0.500

***

# SrBe2GaP, optimized geometry, DFT GGA-PBEsol
# **SG**: No. 123
# **Energy of formation from the pure elements**: 2.117 eV/atom
# **Energy**: -8.39 eV for the cell shown
data_SrBe2GaP
_chemical_formula_sum 'Sr1 Be2 Ga1 P1'
_symmetry_space_group_name_H-M 'P 1'
_symmetry_Int_Tables_number 1
_cell_length_a 5.103
_cell_length_b 5.103
_cell_length_c 5.520
_cell_angle_alpha 90.00
_cell_angle_beta 90.00
_cell_angle_gamma 90.00
loop_
_symmetry_equiv_pos_as_xyz
'x,y,z'
loop_
_atom_site_label
_atom_site_fract_x
_atom_site_fract_y
_atom_site_fract_z
Sr1 0.000 0.000 0.000
Be1 0.000 0.500 0.000
Be2 0.500 0.000 0.000
Ga1 0.000 0.000 0.500
P1 0.500 0.500 0.500

***

# Zr2BeGaP, optimized geometry, DFT GGA-PBEsol
# **SG**: No. 123
# **Energy of formation from the pure elements**: 0.320 eV/atom
# **Energy**: -29.71 eV for the cell shown
data_Zr2BeGaP
_chemical_formula_sum 'Zr2 Be1 Ga1 P1'
_symmetry_space_group_name_H-M 'P 1'
_symmetry_Int_Tables_number 1
_cell_length_a 3.854
_cell_length_b 4.976
_cell_length_c 4.976
_cell_angle_alpha 90.00
_cell_angle_beta 90.00
_cell_angle_gamma 90.00
loop_
_symmetry_equiv_pos_as_xyz
'x,y,z'
loop_
_atom_site_label
_atom_site_fract_x
_atom_site_fract_y
_atom_site_fract_z
P1 0.500 0.500 0.500
Ga1 0.000 0.000 0.000
Zr1 0.000 0.000 0.500
Zr2 0.000 0.500 0.000
Be1 0.500 0.000 0.000

***

# Be2GaPd2, optimized geometry, DFT GGA-PBEsol
# **SG**: No. 127
# **Energy of formation from the pure elements**: -0.487 eV/atom
# **Energy**: -51.38 eV for the cell shown
data_Be2GaPd2
_chemical_formula_sum 'Be4 Ga2 Pd4'
_symmetry_space_group_name_H-M 'P 1'
_symmetry_Int_Tables_number 1
_cell_length_a 2.874
_cell_length_b 6.396
_cell_length_c 6.396
_cell_angle_alpha 90.00
_cell_angle_beta 90.00
_cell_angle_gamma 90.00
loop_
_symmetry_equiv_pos_as_xyz
'x,y,z'
loop_
_atom_site_label
_atom_site_fract_x
_atom_site_fract_y
_atom_site_fract_z
Be1 0.000 0.377 0.877
Be2 0.000 0.877 0.623
Be3 0.000 0.623 0.123
Be4 0.000 0.123 0.377
Ga1 0.000 0.000 0.000
Ga2 0.000 0.500 0.500
Pd1 0.500 0.169 0.669
Pd2 0.500 0.669 0.831
Pd3 0.500 0.831 0.331
Pd4 0.500 0.331 0.169

***

# BeGaPt2Rh, optimized geometry, DFT GGA-PBEsol
# **SG**: No. 123
# **Energy of formation from the pure elements**: 1.284 eV/atom
# **Energy**: -22.99 eV for the cell shown
data_BeGaPt2Rh
_chemical_formula_sum 'Be1 Ga1 Pt2 Rh1'
_symmetry_space_group_name_H-M 'P 1'
_symmetry_Int_Tables_number 1
_cell_length_a 4.485
_cell_length_b 4.801
_cell_length_c 4.801
_cell_angle_alpha 90.00
_cell_angle_beta 90.00
_cell_angle_gamma 90.00
loop_
_symmetry_equiv_pos_as_xyz
'x,y,z'
loop_
_atom_site_label
_atom_site_fract_x
_atom_site_fract_y
_atom_site_fract_z
Be1 0.500 0.500 0.500
Rh1 0.000 0.000 0.000
Ga1 0.500 0.000 0.000
Pt1 0.000 0.000 0.500
Pt2 0.000 0.500 0.000

***

# BeGa3Re, optimized geometry, DFT GGA-PBEsol
# **SG**: No. 221
# **Energy of formation from the pure elements**: 0.874 eV/atom
# **Energy**: -22.98 eV for the cell shown
data_BeGa3Re
_chemical_formula_sum 'Be1 Ga3 Re1'
_symmetry_space_group_name_H-M 'P 1'
_symmetry_Int_Tables_number 1
_cell_length_a 4.775
_cell_length_b 4.775
_cell_length_c 4.775
_cell_angle_alpha 90.00
_cell_angle_beta 90.00
_cell_angle_gamma 90.00
loop_
_symmetry_equiv_pos_as_xyz
'x,y,z'
loop_
_atom_site_label
_atom_site_fract_x
_atom_site_fract_y
_atom_site_fract_z
Re1 0.000 0.000 0.000
Ga1 0.000 0.500 0.000
Ga2 0.000 0.000 0.500
Ga3 0.500 0.000 0.000
Be1 0.500 0.500 0.500

***

Which value of energy does entry 1 give?
-17.11 eV for the cell shown

***

What is the formula in the fifth record?
BeGaPt2Rh

***

What is the energy in the third record?
-29.71 eV for the cell shown

***

The lowest energy belongs to which entry?
Be2GaPd2